w) RbVF2 after structural relaxation, computed with GGA+U.

abc: 4.5953 4.5953 4.5953
angles: 60.00 60.00 60.00
With the nearest neighbours (Å) after each atom.
Element x y z (fractional)
V 0.0000 0.0000 0.0000  8 F 2.81
Rb 0.5000 0.5000 0.5000  8 F 2.81
F 0.2500 0.2500 0.2500  4 Rb 2.81, 4 V 2.81
F 0.7500 0.7500 0.7500  4 Rb 2.81, 4 V 2.81

Density of states at the Fermi level   6.525 states/eV/cell
V   69 Å³/f.u.
ρ   4.22 Mg/m³

***

x) RbVF2 after structural relaxation, computed with GGA+U.

abc: 7.6102 7.6102 7.6102
angles: 28.81 28.81 28.81
With the nearest neighbours (Å) after each atom.
Element x y z (fractional)
V 0.0000 0.0000 0.0000  2 F 1.98
Rb 0.5000 0.5000 0.5000  6 F 2.75
F 0.9095 0.9095 0.9095  1 V 1.98
F 0.0905 0.0905 0.0905  1 V 1.98

Density of states at the Fermi level   3.809 states/eV/cell
V   91 Å³/f.u.
ρ   3.20 Mg/m³

***

y) RbVF2 after structural relaxation, computed with GGA+U.

abc: 5.5624 5.5624 7.2172
angles: 67.33 67.33 90.00
With the nearest neighbours (Å) after each atom.
Element x y z (fractional)
V 0.5000 0.5000 0.0000  4 F 2.16
V 0.2500 0.7500 0.5000  4 F 2.16
Rb 0.0000 0.0000 0.0000  4 F 2.96
Rb 0.7500 0.2500 0.5000  4 F 2.96
F 0.4925 0.1250 0.2500  2 V 2.16
F 0.2575 0.6250 0.2500  2 V 2.16
F 0.3750 0.5075 0.7500  2 V 2.16
F 0.8750 0.7425 0.7500  2 V 2.16

Density of states at the Fermi level   6.020 states/eV/cell
V   94 Å³/f.u.
ρ   3.09 Mg/m³

***

Computed stability ranking, most favorable first: x), y), w)

***

w) RbWF3 after structural relaxation, computed with GGA+U.

abc: 4.5632 4.5632 4.5632
angles: 90.00 90.00 90.00
With the nearest neighbours (Å) after each atom.
Element x y z (fractional)
Rb 0.5000 0.5000 0.5000  12 F 3.23
W 0.0000 0.0000 0.0000  6 F 2.28
F 0.0000 0.5000 0.0000  2 W 2.28
F 0.0000 0.0000 0.5000  2 W 2.28
F 0.5000 0.0000 0.0000  2 W 2.28

Density of states at the Fermi level   1.076 states/eV/cell
V   95 Å³/f.u.
ρ   5.70 Mg/m³

***

x) RbWF3 after structural relaxation, computed with GGA+U.

abc: 4.9058 4.9058 4.9058
angles: 90.00 90.00 90.00
With the nearest neighbours (Å) after each atom.
Element x y z (fractional)
Rb 0.0000 0.0000 0.0000  6 F 2.45
W 0.5000 0.5000 0.5000  12 F 3.47
F 0.0000 0.5000 0.0000  2 Rb 2.45
F 0.0000 0.0000 0.5000  2 Rb 2.45
F 0.5000 0.0000 0.0000  2 Rb 2.45

Density of states at the Fermi level   8.494 states/eV/cell
V   118 Å³/f.u.
ρ   4.59 Mg/m³

***

y) RbWF3 after structural relaxation, computed with GGA+U.

abc: 6.0408 6.0408 7.4016
angles: 65.92 65.92 90.00
With the nearest neighbours (Å) after each atom.
Element x y z (fractional)
Rb 0.7500 0.2500 0.5000  4 F 3.16
Rb 0.2500 0.7500 0.5000  4 F 3.16
W 0.5000 0.5000 0.0000  4 F 2.15
W 0.0000 0.0000 0.0000  6 F 2.10-2.12
F 0.1741 0.1741 0.6518  1 W 2.10
F 0.8259 0.8259 0.3482  1 W 2.10
F 0.2484 0.2484 0.0000  2 W 2.12-2.15
F 0.7516 0.7516 0.0000  2 W 2.12-2.15
F 0.7516 0.2484 0.0000  2 W 2.12-2.15
F 0.2484 0.7516 0.0000  2 W 2.12-2.15

V   110 Å³/f.u.
ρ   4.91 Mg/m³

***

Computed stability ranking, most favorable first: y), w), x)

***

w) Rb2WF after structural relaxation, computed with GGA+U.

abc: 5.9487 5.9487 5.9487
angles: 60.00 60.00 60.00
With the nearest neighbours (Å) after each atom.
Element x y z (fractional)
Rb 0.2500 0.2500 0.2500  4 F 3.64, 4 W 3.64
Rb 0.7500 0.7500 0.7500  4 F 3.64, 4 W 3.64
W 0.5000 0.5000 0.5000  8 Rb 3.64
F 0.0000 0.0000 0.0000  8 Rb 3.64

Density of states at the Fermi level   0.000 states/eV/cell
V   149 Å³/f.u.
ρ   4.17 Mg/m³

***

x) Rb2WF after structural relaxation, computed with GGA+U.

abc: 8.3392 8.3392 7.6133
angles: 56.79 56.79 90.00
With the nearest neighbours (Å) after each atom.
Element x y z (fractional)
Rb 0.5164 0.1250 0.2500  2 F 2.68
Rb 0.2336 0.6250 0.2500  2 F 2.68
Rb 0.3750 0.4836 0.7500  2 F 2.68
Rb 0.8750 0.7664 0.7500  2 F 2.68
W 0.0000 0.0000 0.0000  4 Rb 3.84
W 0.7500 0.2500 0.5000  4 Rb 3.84
F 0.5000 0.5000 0.0000  4 Rb 2.68
F 0.2500 0.7500 0.5000  4 Rb 2.68

Density of states at the Fermi level   0.318 states/eV/cell
V   167 Å³/f.u.
ρ   3.71 Mg/m³

***

Computed stability ranking, most favorable first: x), w)

***

w) Rb3WF6 after structural relaxation, computed with GGA+U.

abc: 6.5778 6.5778 9.6416
angles: 90.00 90.00 90.00
With the nearest neighbours (Å) after each atom.
Element x y z (fractional)
Rb 0.0000 0.5000 0.2500  4 F 2.92
Rb 0.0000 0.5000 0.7500  4 F 2.92
Rb 0.5000 0.0000 0.2500  4 F 2.92
Rb 0.5000 0.0000 0.7500  4 F 2.92
Rb 0.0000 0.0000 0.5000  6 F 2.69-2.75
Rb 0.5000 0.5000 0.0000  6 F 2.69-2.75
W 0.0000 0.0000 0.0000  6 F 2.12-2.13
W 0.5000 0.5000 0.5000  6 F 2.12-2.13
F 0.1377 0.2918 0.0000  1 W 2.12
F 0.8623 0.7082 0.0000  1 W 2.12
F 0.7082 0.1377 0.0000  1 W 2.12
F 0.3623 0.7918 0.5000  1 W 2.12
F 0.2918 0.8623 0.0000  1 W 2.12
F 0.6377 0.2082 0.5000  1 W 2.12
F 0.7918 0.6377 0.5000  1 W 2.12
F 0.2082 0.3623 0.5000  1 W 2.12
F 0.0000 0.0000 0.2207  1 W 2.13
F 0.0000 0.0000 0.7793  1 W 2.13
F 0.5000 0.5000 0.2793  1 W 2.13
F 0.5000 0.5000 0.7207  1 W 2.13

Density of states at the Fermi level   0.000 states/eV/cell
V   209 Å³/f.u.
ρ   4.41 Mg/m³

***

x) Rb3WF6 after structural relaxation, computed with GGA+U.

abc: 6.7361 6.7361 6.7331
angles: 59.99 59.99 90.00
With the nearest neighbours (Å) after each atom.
Element x y z (fractional)
Rb 0.5000 0.5000 0.0000  6 F 2.65
Rb 0.7500 0.2500 0.5000  12 F 3.38
Rb 0.2500 0.7500 0.5000  12 F 3.38
W 0.0000 0.0000 0.0000  6 F 2.11
F 0.2219 0.2219 0.5562  1 W 2.11
F 0.7781 0.7781 0.4438  1 W 2.11
F 0.2220 0.2220 0.0000  1 W 2.11
F 0.7780 0.7780 0.0000  1 W 2.11
F 0.7780 0.2220 0.0000  1 W 2.11
F 0.2220 0.7780 0.0000  1 W 2.11

Density of states at the Fermi level   0.000 states/eV/cell
V   216 Å³/f.u.
ρ   4.26 Mg/m³

***

Computed stability ranking, most favorable first: w), x)